Record 1
meta-GGA SCAN Mg2CdHg, single point on PBEsol structure; formation energy = -0.27 eV/atom; symmetry = No. 123; total magnetization = 0.0 Bohr magnetons per cell; ρ = 7.36 Mg/m³; energy = -109.6 eV/cell; Fermi-level density of states = 0.9 states/eV per cell; crystal system = tetragonal
1.0
4.8112 0.0000 0.0000
0.0000 4.8112 0.0000
0.0000 0.0000 3.5266
Mg Cd Hg
2 1 1
direct
0.0000 0.5000 0.0000
0.5000 0.0000 0.0000
0.0000 0.0000 0.5000
0.5000 0.5000 0.5000

=====

Record 2
meta-GGA SCAN MgCd2Hg, single point on PBEsol structure; formation energy = -0.12 eV/atom; symmetry = No. 25; total magnetization = 0.0 Bohr magnetons per cell; ρ = 8.89 Mg/m³; energy = -134.5 eV/cell; Fermi-level density of states = 1.2 states/eV per cell; crystal system = orthorhombic
1.0
3.4002 0.0000 0.0000
0.0000 4.0094 0.0000
0.0000 0.0000 6.1621
Mg Cd Hg
1 2 1
direct
0.0000 0.0000 0.0000
0.0000 0.0000 0.5041
0.5000 0.5000 0.2618
0.5000 0.5000 0.7705

=====

Record 3
meta-GGA SCAN Mg2CdHg, single point on PBEsol structure; formation energy = -0.26 eV/atom; symmetry = No. 225; total magnetization = 0.0 Bohr magnetons per cell; ρ = 7.36 Mg/m³; energy = -109.6 eV/cell; Fermi-level density of states = 1.1 states/eV per cell; crystal system = cubic
1.0
0.0000 3.4428 3.4428
3.4428 0.0000 3.4428
3.4428 3.4428 0.0000
Mg Cd Hg
2 1 1
direct
0.2500 0.2500 0.2500
0.7500 0.7500 0.7500
0.0000 0.0000 0.0000
0.5000 0.5000 0.5000

=====

Record 4
meta-GGA SCAN Mg2CdHg, single point on PBEsol structure; formation energy = -0.22 eV/atom; symmetry = No. 8; total magnetization = 0.0 Bohr magnetons per cell; ρ = 7.18 Mg/m³; energy = -109.4 eV/cell; Fermi-level density of states = 1.2 states/eV per cell; crystal system = monoclinic
1.0
5.3114 -1.6691 0.0000
5.3114 1.6691 0.0000
-1.5974 0.0000 4.7197
Mg Cd Hg
2 1 1
direct
0.0000 0.0000 0.0000
0.2319 0.2319 0.6384
0.7493 0.7493 0.1445
0.4887 0.4887 0.5029

=====

Record 5
meta-GGA SCAN MgCd2Hg, single point on PBEsol structure; formation energy = -0.10 eV/atom; symmetry = No. 160; total magnetization = 0.0 Bohr magnetons per cell; ρ = 8.72 Mg/m³; energy = -134.4 eV/cell; Fermi-level density of states = 1.2 states/eV per cell; crystal system = trigonal
1.0
1.6323 0.9424 9.2774
-1.6323 0.9424 9.2774
0.0000 -1.8848 9.2774
Mg Cd Hg
1 2 1
direct
0.0000 0.0000 0.0000
0.5013 0.5013 0.5013
0.7503 0.7503 0.7503
0.2531 0.2531 0.2531

=====

Record 6
meta-GGA SCAN Mg2CdHg, single point on PBEsol structure; formation energy = -0.20 eV/atom; symmetry = No. 44; total magnetization = 0.0 Bohr magnetons per cell; ρ = 7.18 Mg/m³; energy = -109.3 eV/cell; Fermi-level density of states = 1.2 states/eV per cell; crystal system = orthorhombic
1.0
-1.9260 2.2778 4.7691
1.9260 -2.2778 4.7691
1.9260 2.2778 -4.7691
Mg Cd Hg
2 1 1
direct
0.0000 0.0000 0.0000
0.7391 0.2391 0.5000
0.2539 0.7539 0.5000
0.4978 0.4978 0.0000